[1]
Below is an optimized crystal structure of HoTm3Tl2, with properties calculated at the PBE-GGA level.

Values from the calculation:
As for the distance to the lowest polymorph of the same formula: 74.9 meV/atom. The energy relative to the elements is -17.5 kJ/mol of atoms. The space-group type is No. 72.

abc: 9.4197 9.4197 9.4197
angles: 139.91 57.98 139.92
Fractional positions:
1 Ho 0.2500 0.2500 0.0000
2 Ho 0.7500 0.7500 0.0000
3 Tm 0.1760 0.7491 0.9251
4 Tm 0.2500 0.7500 0.5000
5 Tm 0.3240 0.2491 0.5732
6 Tm 0.6760 0.7509 0.4268
7 Tm 0.7500 0.2500 0.5000
8 Tm 0.8240 0.2509 0.0749
9 Tl 0.1375 0.2511 0.3886
10 Tl 0.3625 0.7511 0.1136
11 Tl 0.6375 0.2489 0.8864
12 Tl 0.8625 0.7489 0.6114



[2]
Below is an optimized crystal structure of Ho5Tm4Tl, with properties calculated at the PBE-GGA level.

Values from the calculation:
As for the distance to the lowest polymorph of the same formula: 160.0 meV/atom. The energy relative to the elements is 22.4 kJ/mol of atoms. The space-group type is No. 79.

abc: 7.8208 7.8208 7.8208
angles: 98.84 98.84 133.83
Fractional positions:
1 Ho 0.0000 0.0000 0.0000
2 Ho 0.4549 0.5379 0.6264
3 Ho 0.5379 0.9116 0.0830
4 Ho 0.8286 0.4549 0.9170
5 Ho 0.9116 0.8286 0.3736
6 Tm 0.1406 0.5332 0.3031
7 Tm 0.2301 0.8376 0.6969
8 Tm 0.5332 0.2301 0.3925
9 Tm 0.8376 0.1406 0.6075
10 Tl 0.4634 0.4634 0.0000



[3]
Below is an optimized crystal structure of Ho5TmTl2, with properties calculated at the PBE-GGA level.

Values from the calculation:
The energy relative to the elements is -9.4 kJ/mol of atoms. The space-group type is No. 71.

abc: 8.4049 8.4049 8.4049
angles: 155.55 103.15 82.08
Fractional positions:
1 Ho 0.0000 0.0000 0.0000
2 Ho 0.0985 0.3676 0.7309
3 Ho 0.3633 0.6324 0.7309
4 Ho 0.6367 0.3676 0.2691
5 Ho 0.9015 0.6324 0.2691
6 Tm 0.5000 0.0000 0.5000
7 Tl 0.2594 0.2594 0.0000
8 Tl 0.7406 0.7406 0.0000



[4]
Below is an optimized crystal structure of Ho5TmTl4, with properties calculated at the PBE-GGA level.

Values from the calculation:
The energy relative to the elements is -25.6 kJ/mol of atoms. The space-group type is No. 123.

abc: 3.6084 3.6084 21.4382
angles: 90.00 90.00 90.00
Fractional positions:
1 Ho 0.0000 0.0000 0.0000
2 Ho 0.0000 0.0000 0.1950
3 Ho 0.0000 0.0000 0.3884
4 Ho 0.0000 0.0000 0.6116
5 Ho 0.0000 0.0000 0.8050
6 Tm 0.5000 0.5000 0.5000
7 Tl 0.5000 0.5000 0.0972
8 Tl 0.5000 0.5000 0.2914
9 Tl 0.5000 0.5000 0.7086
10 Tl 0.5000 0.5000 0.9028



[5]
Below is an optimized crystal structure of HoTmTl, with properties calculated at the PBE-GGA level.

Values from the calculation:
As for the distance to the lowest polymorph of the same formula: 124.4 meV/atom. The energy relative to the elements is -11.8 kJ/mol of atoms. The space-group type is No. 156.

abc: 5.2169 5.2169 3.6552
angles: 90.00 90.00 120.00
Fractional positions:
1 Ho 0.0000 0.0000 0.0000
2 Tm 0.3333 0.6667 0.5334
3 Tl 0.6667 0.3333 0.3414



[6]
Below is an optimized crystal structure of Ho5TmTl6, with properties calculated at the PBE-GGA level.

Values from the calculation:
As for the distance to the lowest polymorph of the same formula: 75.8 meV/atom. The energy relative to the elements is -23.6 kJ/mol of atoms. The space-group type is No. 12.

abc: 7.4357 7.4357 6.4733
angles: 98.41 98.41 97.39
Fractional positions:
1 Ho 0.0000 0.0000 0.0000
2 Ho 0.1674 0.8326 0.5000
3 Ho 0.3335 0.6665 0.0000
4 Ho 0.6665 0.3335 0.0000
5 Ho 0.8326 0.1674 0.5000
6 Tm 0.5000 0.5000 0.5000
7 Tl 0.0846 0.4164 0.2510
8 Tl 0.2503 0.2503 0.7478
9 Tl 0.4164 0.0846 0.2510
10 Tl 0.5836 0.9154 0.7490
11 Tl 0.7497 0.7497 0.2522
12 Tl 0.9154 0.5836 0.7490



[7]
Below is an optimized crystal structure of Ho12Tm6Tl, with properties calculated at the PBE-GGA level.

Values from the calculation:
As for the distance to the lowest polymorph of the same formula: 0.0 meV/atom. The energy relative to the elements is -0.1 kJ/mol of atoms. The space-group type is No. 148.

abc: 9.2474 9.2474 9.2474
angles: 110.94 110.94 110.94
Fractional positions:
1 Ho 0.0536 0.3719 0.5848
2 Ho 0.1036 0.7352 0.1557
3 Ho 0.1557 0.1036 0.7352
4 Ho 0.2648 0.8443 0.8964
5 Ho 0.3719 0.5848 0.0536
6 Ho 0.4152 0.9464 0.6281
7 Ho 0.5848 0.0536 0.3719
8 Ho 0.6281 0.4152 0.9464
9 Ho 0.7352 0.1557 0.1036
10 Ho 0.8443 0.8964 0.2648
11 Ho 0.8964 0.2648 0.8443
12 Ho 0.9464 0.6281 0.4152
13 Tm 0.2124 0.4730 0.3163
14 Tm 0.3163 0.2124 0.4730
15 Tm 0.4730 0.3163 0.2124
16 Tm 0.5270 0.6837 0.7876
17 Tm 0.6837 0.7876 0.5270
18 Tm 0.7876 0.5270 0.6837
19 Tl 0.0000 0.0000 0.0000



[8]
Below is an optimized crystal structure of HoTmTl, with properties calculated at the PBE-GGA level.

Values from the calculation:
As for the distance to the lowest polymorph of the same formula: 496.9 meV/atom. The energy relative to the elements is 24.1 kJ/mol of atoms. The space-group type is No. 65.

abc: 6.6670 6.6670 4.8884
angles: 90.00 90.00 90.85
Fractional positions:
1 Ho 0.1878 0.8122 0.0000
2 Ho 0.8122 0.1878 0.0000
3 Tm 0.3131 0.3131 0.5000
4 Tm 0.6869 0.6869 0.5000
5 Tl 0.0000 0.0000 0.5000
6 Tl 0.5000 0.5000 0.0000